No. 1
# RbGdZnSe3, optimized geometry, DFT GGA-PBE
# VASP energy in eV per atom: -4.1063
# Crystal system: monoclinic
data_RbGdZnSe3
_chemical_formula_sum 'Rb2 Gd2 Zn2 Se6'
_cell_length_a 9.555
_cell_length_b 9.555
_cell_length_c 8.946
_cell_angle_alpha 101.00
_cell_angle_beta 101.00
_cell_angle_gamma 25.91
_symmetry_space_group_name_H-M 'P 1'
_symmetry_Int_Tables_number 1
loop_
_symmetry_equiv_pos_as_xyz
'x,y,z'
loop_
_atom_site_label
_atom_site_type_symbol
_atom_site_fract_x
_atom_site_fract_y
_atom_site_fract_z
_atom_site_occupancy
Rb1 Rb 0.144 0.144 0.067 1
Rb2 Rb 0.856 0.856 0.933 1
Gd1 Gd 0.167 0.167 0.565 1
Gd2 Gd 0.833 0.833 0.435 1
Zn1 Zn 0.472 0.472 0.263 1
Zn2 Zn 0.528 0.528 0.737 1
Se1 Se 0.000 0.000 0.500 1
Se2 Se 0.324 0.324 0.641 1
Se3 Se 0.340 0.340 0.220 1
Se4 Se 0.500 0.500 0.000 1
Se5 Se 0.660 0.660 0.780 1
Se6 Se 0.676 0.676 0.359 1

***

No. 2
# Cs2NbAuBr6, optimized geometry, DFT GGA-PBE
# VASP energy in eV per atom: -3.4892
# Crystal system: cubic
data_Cs2NbAuBr6
_chemical_formula_sum 'Cs2 Nb1 Au1 Br6'
_cell_length_a 7.801
_cell_length_b 7.801
_cell_length_c 7.801
_cell_angle_alpha 60.00
_cell_angle_beta 60.00
_cell_angle_gamma 60.00
_symmetry_space_group_name_H-M 'P 1'
_symmetry_Int_Tables_number 1
loop_
_symmetry_equiv_pos_as_xyz
'x,y,z'
loop_
_atom_site_label
_atom_site_type_symbol
_atom_site_fract_x
_atom_site_fract_y
_atom_site_fract_z
_atom_site_occupancy
Cs1 Cs 0.250 0.250 0.250 1
Cs2 Cs 0.750 0.750 0.750 1
Nb1 Nb 0.000 0.000 0.000 1
Au1 Au 0.500 0.500 0.500 1
Br1 Br 0.241 0.241 0.759 1
Br2 Br 0.241 0.759 0.241 1
Br3 Br 0.241 0.759 0.759 1
Br4 Br 0.759 0.241 0.241 1
Br5 Br 0.759 0.241 0.759 1
Br6 Br 0.759 0.759 0.241 1

***

No. 3
# NaHoZnSe3, optimized geometry, DFT GGA-PBE
# Energy above the lowest structure with this stoichiometry in eV/atom: 0.006
# VASP energy in eV per atom: -4.2468
# Crystal system: monoclinic
data_NaHoZnSe3
_chemical_formula_sum 'Na2 Ho2 Zn2 Se6'
_cell_length_a 8.269
_cell_length_b 4.062
_cell_length_c 9.744
_cell_angle_alpha 90.00
_cell_angle_beta 104.91
_cell_angle_gamma 90.00
_symmetry_space_group_name_H-M 'P 1'
_symmetry_Int_Tables_number 1
loop_
_symmetry_equiv_pos_as_xyz
'x,y,z'
loop_
_atom_site_label
_atom_site_type_symbol
_atom_site_fract_x
_atom_site_fract_y
_atom_site_fract_z
_atom_site_occupancy
Na1 Na 0.205 0.250 0.220 1
Na2 Na 0.795 0.750 0.780 1
Ho1 Ho 0.325 0.750 0.856 1
Ho2 Ho 0.675 0.250 0.144 1
Zn1 Zn 0.083 0.250 0.602 1
Zn2 Zn 0.917 0.750 0.398 1
Se1 Se 0.080 0.250 0.853 1
Se2 Se 0.227 0.750 0.537 1
Se3 Se 0.440 0.750 0.156 1
Se4 Se 0.560 0.250 0.844 1
Se5 Se 0.773 0.250 0.463 1
Se6 Se 0.920 0.750 0.147 1

***

No. 4
# ZrBe, optimized geometry, DFT GGA-PBE
# VASP energy in eV per atom: -6.2262
# Crystal system: orthorhombic
data_ZrBe
_chemical_formula_sum 'Zr5 Be5'
_cell_length_a 3.569
_cell_length_b 9.226
_cell_length_c 9.226
_cell_angle_alpha 148.31
_cell_angle_beta 90.00
_cell_angle_gamma 90.00
_symmetry_space_group_name_H-M 'P 1'
_symmetry_Int_Tables_number 1
loop_
_symmetry_equiv_pos_as_xyz
'x,y,z'
loop_
_atom_site_label
_atom_site_type_symbol
_atom_site_fract_x
_atom_site_fract_y
_atom_site_fract_z
_atom_site_occupancy
Zr1 Zr 0.000 0.000 0.000 1
Zr2 Zr 0.000 0.546 0.931 1
Zr3 Zr 0.000 0.931 0.546 1
Zr4 Zr 0.500 0.085 0.389 1
Zr5 Zr 0.500 0.389 0.085 1
Be1 Be 0.000 0.428 0.551 1
Be2 Be 0.000 0.551 0.428 1
Be3 Be 0.500 0.418 0.418 1
Be4 Be 0.500 0.648 0.811 1
Be5 Be 0.500 0.811 0.648 1

***

No. 5
# Ta12Re, optimized geometry, DFT GGA-PBE
# Formation energy in eV/atom: 0.03
# VASP energy in eV per atom: -11.8672
# Crystal system: trigonal
data_Ta12Re
_chemical_formula_sum 'Ta12 Re1'
_cell_length_a 9.921
_cell_length_b 9.921
_cell_length_c 9.921
_cell_angle_alpha 31.88
_cell_angle_beta 31.88
_cell_angle_gamma 31.88
_symmetry_space_group_name_H-M 'P 1'
_symmetry_Int_Tables_number 1
loop_
_symmetry_equiv_pos_as_xyz
'x,y,z'
loop_
_atom_site_label
_atom_site_type_symbol
_atom_site_fract_x
_atom_site_fract_y
_atom_site_fract_z
_atom_site_occupancy
Ta1 Ta 0.046 0.046 0.046 1
Ta2 Ta 0.089 0.592 0.592 1
Ta3 Ta 0.148 0.148 0.148 1
Ta4 Ta 0.332 0.332 0.332 1
Ta5 Ta 0.408 0.408 0.911 1
Ta6 Ta 0.408 0.911 0.408 1
Ta7 Ta 0.592 0.089 0.592 1
Ta8 Ta 0.592 0.592 0.089 1
Ta9 Ta 0.668 0.668 0.668 1
Ta10 Ta 0.852 0.852 0.852 1
Ta11 Ta 0.911 0.408 0.408 1
Ta12 Ta 0.954 0.954 0.954 1
Re1 Re 0.500 0.500 0.500 1

***

No. 6
# YHfBeIr, optimized geometry, DFT GGA-PBE
# Energy above the lowest structure with this stoichiometry in eV/atom: 0.101
# VASP energy in eV per atom: -7.5050
# Crystal system: cubic
data_YHfBeIr
_chemical_formula_sum 'Y1 Hf1 Be1 Ir1'
_cell_length_a 4.595
_cell_length_b 4.595
_cell_length_c 4.595
_cell_angle_alpha 60.00
_cell_angle_beta 60.00
_cell_angle_gamma 60.00
_symmetry_space_group_name_H-M 'P 1'
_symmetry_Int_Tables_number 1
loop_
_symmetry_equiv_pos_as_xyz
'x,y,z'
loop_
_atom_site_label
_atom_site_type_symbol
_atom_site_fract_x
_atom_site_fract_y
_atom_site_fract_z
_atom_site_occupancy
Y1 Y 0.000 0.000 0.000 1
Hf1 Hf 0.250 0.250 0.250 1
Be1 Be 0.750 0.750 0.750 1
Ir1 Ir 0.500 0.500 0.500 1

***

No. 7
# MgAsOsO, optimized geometry, DFT GGA-PBE
# Energy above the lowest structure with this stoichiometry in eV/atom: 0.495
# VASP energy in eV per atom: -6.1118
# Crystal system: orthorhombic
data_MgAsOsO
_chemical_formula_sum 'Mg2 As2 Os2 O2'
_cell_length_a 4.249
_cell_length_b 4.729
_cell_length_c 5.761
_cell_angle_alpha 90.00
_cell_angle_beta 90.00
_cell_angle_gamma 90.00
_symmetry_space_group_name_H-M 'P 1'
_symmetry_Int_Tables_number 1
loop_
_symmetry_equiv_pos_as_xyz
'x,y,z'
loop_
_atom_site_label
_atom_site_type_symbol
_atom_site_fract_x
_atom_site_fract_y
_atom_site_fract_z
_atom_site_occupancy
Mg1 Mg 0.000 0.242 0.000 1
Mg2 Mg 0.000 0.758 0.500 1
As1 As 0.500 0.121 0.689 1
As2 As 0.500 0.879 0.189 1
Os1 Os 0.500 0.382 0.324 1
Os2 Os 0.500 0.618 0.824 1
O1 O 0.000 0.418 0.309 1
O2 O 0.000 0.582 0.809 1

***

No. 8
# Er2Fe2Si2C, optimized geometry, DFT GGA-PBE
# VASP energy in eV per atom: -7.2463
# Crystal system: monoclinic
data_Er2Fe2Si2C
_chemical_formula_sum 'Er2 Fe2 Si2 C1'
_cell_length_a 5.603
_cell_length_b 5.603
_cell_length_c 6.688
_cell_angle_alpha 126.62
_cell_angle_beta 126.62
_cell_angle_gamma 40.71
_symmetry_space_group_name_H-M 'P 1'
_symmetry_Int_Tables_number 1
loop_
_symmetry_equiv_pos_as_xyz
'x,y,z'
loop_
_atom_site_label
_atom_site_type_symbol
_atom_site_fract_x
_atom_site_fract_y
_atom_site_fract_z
_atom_site_occupancy
Er1 Er 0.060 0.060 0.293 1
Er2 Er 0.940 0.940 0.707 1
Fe1 Fe 0.298 0.298 0.903 1
Fe2 Fe 0.702 0.702 0.097 1
Si1 Si 0.341 0.341 0.288 1
Si2 Si 0.659 0.659 0.712 1
C1 C 0.500 0.500 0.000 1

***

No. 9
# NbGaFe2, optimized geometry, DFT GGA-PBE
# VASP energy in eV per atom: -7.6229
# Crystal system: tetragonal
data_NbGaFe2
_chemical_formula_sum 'Nb1 Ga1 Fe2'
_cell_length_a 4.090
_cell_length_b 4.090
_cell_length_c 3.110
_cell_angle_alpha 90.00
_cell_angle_beta 90.00
_cell_angle_gamma 90.00
_symmetry_space_group_name_H-M 'P 1'
_symmetry_Int_Tables_number 1
loop_
_symmetry_equiv_pos_as_xyz
'x,y,z'
loop_
_atom_site_label
_atom_site_type_symbol
_atom_site_fract_x
_atom_site_fract_y
_atom_site_fract_z
_atom_site_occupancy
Nb1 Nb 0.000 0.000 0.000 1
Ga1 Ga 0.500 0.500 0.000 1
Fe1 Fe 0.000 0.500 0.500 1
Fe2 Fe 0.500 0.000 0.500 1

***

No. 10
# KTmPdS3, optimized geometry, DFT GGA-PBE
# VASP energy in eV per atom: -5.0785
# Crystal system: monoclinic
data_KTmPdS3
_chemical_formula_sum 'K2 Tm2 Pd2 S6'
_cell_length_a 8.581
_cell_length_b 3.987
_cell_length_c 9.338
_cell_angle_alpha 90.00
_cell_angle_beta 107.07
_cell_angle_gamma 90.00
_symmetry_space_group_name_H-M 'P 1'
_symmetry_Int_Tables_number 1
loop_
_symmetry_equiv_pos_as_xyz
'x,y,z'
loop_
_atom_site_label
_atom_site_type_symbol
_atom_site_fract_x
_atom_site_fract_y
_atom_site_fract_z
_atom_site_occupancy
K1 K 0.196 0.250 0.224 1
K2 K 0.804 0.750 0.776 1
Tm1 Tm 0.333 0.750 0.855 1
Tm2 Tm 0.667 0.250 0.145 1
Pd1 Pd 0.096 0.250 0.582 1
Pd2 Pd 0.904 0.750 0.418 1
S1 S 0.118 0.250 0.852 1
S2 S 0.217 0.750 0.543 1
S3 S 0.454 0.750 0.153 1
S4 S 0.546 0.250 0.847 1
S5 S 0.783 0.250 0.457 1
S6 S 0.882 0.750 0.148 1

***

No. 11
# ThBe4Te3, optimized geometry, DFT GGA-PBE
# VASP energy in eV per atom: -3.5768
# Crystal system: tetragonal
data_ThBe4Te3
_chemical_formula_sum 'Th1 Be4 Te3'
_cell_length_a 6.646
_cell_length_b 6.646
_cell_length_c 6.646
_cell_angle_alpha 131.06
_cell_angle_beta 131.06
_cell_angle_gamma 71.72
_symmetry_space_group_name_H-M 'P 1'
_symmetry_Int_Tables_number 1
loop_
_symmetry_equiv_pos_as_xyz
'x,y,z'
loop_
_atom_site_label
_atom_site_type_symbol
_atom_site_fract_x
_atom_site_fract_y
_atom_site_fract_z
_atom_site_occupancy
Th1 Th 0.000 0.000 0.000 1
Be1 Be 0.000 0.500 0.500 1
Be2 Be 0.273 0.273 0.000 1
Be3 Be 0.500 0.000 0.500 1
Be4 Be 0.727 0.727 0.000 1
Te1 Te 0.250 0.750 0.500 1
Te2 Te 0.500 0.500 0.000 1
Te3 Te 0.750 0.250 0.500 1

***

No. 12
# Hf3Co4Bi2Sb2, optimized geometry, DFT GGA-PBE
# VASP energy in eV per atom: -7.0519
# Crystal system: tetragonal
data_Hf3Co4Bi2Sb2
_chemical_formula_sum 'Hf3 Co4 Bi2 Sb2'
_cell_length_a 7.504
_cell_length_b 7.504
_cell_length_c 7.504
_cell_angle_alpha 132.14
_cell_angle_beta 132.14
_cell_angle_gamma 70.01
_symmetry_space_group_name_H-M 'P 1'
_symmetry_Int_Tables_number 1
loop_
_symmetry_equiv_pos_as_xyz
'x,y,z'
loop_
_atom_site_label
_atom_site_type_symbol
_atom_site_fract_x
_atom_site_fract_y
_atom_site_fract_z
_atom_site_occupancy
Hf1 Hf 0.000 0.000 0.000 1
Hf2 Hf 0.250 0.750 0.500 1
Hf3 Hf 0.750 0.250 0.500 1
Co1 Co 0.117 0.117 0.494 1
Co2 Co 0.377 0.883 0.000 1
Co3 Co 0.623 0.623 0.506 1
Co4 Co 0.883 0.377 0.000 1
Bi1 Bi 0.000 0.500 0.500 1
Bi2 Bi 0.500 0.000 0.500 1
Sb1 Sb 0.254 0.254 0.000 1
Sb2 Sb 0.746 0.746 0.000 1

***

Number 1: magnetic moment 0.00 μB/atom. Number 2: magnetic moment 0.20 μB/atom. Number 3: magnetic moment 0.00 μB/atom. Number 4: magnetic moment 0.00 μB/atom. Number 5: magnetic moment 0.00 μB/atom. Number 6: magnetic moment 0.00 μB/atom. Number 7: magnetic moment 0.01 μB/atom. Number 8: magnetic moment 0.00 μB/atom. Number 9: magnetic moment 0.00 μB/atom. Number 10: magnetic moment 0.00 μB/atom. Number 11: magnetic moment 0.00 μB/atom. Number 12: magnetic moment 0.22 μB/atom.